## i
ZnRe2 | GGA-PBE | relaxed

Cell lengths 4.4172, 4.4172, 5.6592 Å; angles 90.00, 90.00, 120.00 degrees
Space group P6_3/mmc (No. 194)
Symmetry-distinct sites (fractional):
Zn  0.0000  0.0000  0.2500
Re  0.3333  0.6667  0.0389

Values from the calculation:
Theoretical density: 15205 kg/m3
Crystal system: hexagonal
Size of the total moment: 0.00 μB per formula unit

***

## ii
ZnRe2 | GGA-PBE | relaxed

Cell lengths 2.778, 4.430, 7.386 Å; angles 90.00, 100.15, 90.00 degrees
Space group P2_1/m (No. 11)
Symmetry-distinct sites (fractional):
Zn  0.228  0.250  0.447
Re  0.098  0.750  0.217
Re  0.445  0.750  0.896

Values from the calculation:
Theoretical density: 16251 kg/m3
Crystal system: monoclinic
Size of the total moment: 0.00 μB per formula unit

***

Name the most stable of them. ii.

***

## i
ZnRe2 | GGA-PBE | relaxed

Cell lengths 3.108, 3.108, 9.094 Å; angles 90.00, 90.00, 90.00 degrees
Space group I4/mmm (No. 139)
Symmetry-distinct sites (fractional):
Zn  0.000  0.000  0.000
Re  0.000  0.000  0.327

Values from the calculation:
Theoretical density: 16551 kg/m3
Crystal system: tetragonal
Size of the total moment: 0.00 μB per formula unit

***

## ii
ZnRe2 | GGA-PBE | relaxed

Cell lengths 10.116, 2.833, 6.386 Å; angles 90.00, 105.27, 90.00 degrees
Space group C2/m (No. 12)
Symmetry-distinct sites (fractional):
Zn  0.195  0.000  0.127
Re  0.016  0.500  0.792
Re  0.138  0.000  0.535

Values from the calculation:
Theoretical density: 16469 kg/m3
Crystal system: monoclinic
Size of the total moment: 0.00 μB per formula unit

***

Name the most stable of them. i.

***

## i
ZnRe2 | GGA-PBE | relaxed

Cell lengths 2.554, 4.483, 17.518 Å; angles 90.00, 90.00, 90.00 degrees
Space group Imma (No. 74)
Symmetry-distinct sites (fractional):
Zn  0.000  0.250  0.129
Re  0.000  0.250  0.535
Re  0.000  0.250  0.681

Values from the calculation:
Theoretical density: 14497 kg/m3
Crystal system: orthorhombic
Size of the total moment: 0.00 μB per formula unit

***

## ii
ZnRe2 | GGA-PBE | relaxed

Cell lengths 10.010, 2.891, 6.397 Å; angles 90.00, 106.54, 90.00 degrees
Space group Cm (No. 8)
Symmetry-distinct sites (fractional):
Zn  0.000  0.000  0.000
Zn  0.164  0.500  0.332
Re  0.125  0.500  0.736
Re  0.284  0.000  0.070
Re  0.336  0.000  0.665
Re  0.448  0.500  0.405

Values from the calculation:
Theoretical density: 16388 kg/m3
Crystal system: monoclinic
Size of the total moment: 0.00 μB per formula unit

***

## iii
ZnRe2 | GGA-PBE | relaxed

Cell lengths 4.068, 10.845, 4.111 Å; angles 90.00, 90.00, 90.00 degrees
Space group Cmcm (No. 63)
Symmetry-distinct sites (fractional):
Zn  0.000  0.074  0.250
Re  0.000  0.248  0.750
Re  0.000  0.397  0.250

Values from the calculation:
Theoretical density: 16037 kg/m3
Crystal system: orthorhombic
Size of the total moment: 0.00 μB per formula unit

***

## iv
ZnRe2 | GGA-PBE | relaxed

Cell lengths 2.816, 3.810, 8.180 Å; angles 90.00, 90.00, 90.00 degrees
Space group Immm (No. 71)
Symmetry-distinct sites (fractional):
Zn  0.000  0.000  0.000
Re  0.000  0.000  0.329

Values from the calculation:
Theoretical density: 16566 kg/m3
Crystal system: orthorhombic
Size of the total moment: 0.00 μB per formula unit

***

Name the most stable of them. iv.

***

## i
ZnRe | GGA-PBE | relaxed

Cell lengths 5.025, 5.025, 5.025 Å; angles 90.00, 90.00, 90.00 degrees
Space group Fm-3m (No. 225)
Symmetry-distinct sites (fractional):
Zn  0.000  0.000  0.000
Re  0.000  0.000  0.500

Values from the calculation:
Theoretical density: 13170 kg/m3
Crystal system: cubic
Size of the total moment: 0.00 μB per formula unit

***

## ii
ZnRe | GGA-PBE | relaxed

Cell lengths 7.982, 7.982, 7.982 Å; angles 90.00, 90.00, 90.00 degrees
Space group I-43m (No. 217)
Symmetry-distinct sites (fractional):
Zn  0.203  0.203  0.203
Re  0.111  0.111  0.889

Values from the calculation:
Theoretical density: 6572 kg/m3
Crystal system: cubic
Size of the total moment: 1.21 μB per formula unit

***

Name the most stable of them. i.